# 1
Below is Pd4Pt15Au after structural relaxation, with properties calculated at the PBE-GGA level.

Geometry as extended XYZ:
```
20
Lattice="-1.478 -3.175 -1.846 0.723 -2.202 3.209 -18.205 4.352 7.087" Properties=species:S:1:pos:R:3 pbc="T T T"
Pt -8.741 1.075 5.148
Pd -3.687 0.881 1.435
Pt -15.969 2.803 7.962
Pt -7.673 -0.945 3.522
Pd -10.909 2.608 4.247
Pt -12.354 1.939 6.554
Pt -13.454 1.452 4.027
Pt -4.056 -1.809 2.114
Au 0.000 0.000 0.000
Pt -6.228 -0.275 1.214
Pt -5.128 0.211 3.742
Pt -17.070 2.316 5.434
Pd -14.518 3.471 5.651
Pt -9.841 0.588 2.620
Pt -0.377 -2.689 0.682
Pt -11.286 -0.081 4.928
Pt -1.513 -0.653 2.334
Pt -14.904 0.784 6.336
Pt -2.613 -1.140 -0.193
Pd -7.296 1.744 2.840
```

Output
Mass density ... 18.788 g/cm³
N(E_F) ... 2.27 states/eV per atom
Final energy ... -114.9 eV per formula unit
V ... 15.68 Å³ per atom



# 2
Below is Y2AlAg after structural relaxation, with properties calculated at the PBE-GGA level.

Geometry as extended XYZ:
```
4
Lattice="-2.685 -4.247 0.463 -2.180 -3.396 -3.029 4.419 -4.473 -0.452" Properties=species:S:1:pos:R:3 pbc="T T T"
Ag -0.334 -9.087 -2.264
Al -0.111 -3.029 -0.755
Y -0.233 -6.033 -1.504
Y 0.010 -0.025 -0.005
```

Output
Mass density ... 4.957 g/cm³
N(E_F) ... 1.11 states/eV per atom
Final energy ... -20.0 eV per formula unit
V ... 26.18 Å³ per atom